Record 1
The following is a DFT calculation (GGA-PBE) of a relaxed KTiSi2Tc crystal.

The calculation puts the calculated density at 3.42 g/cm³. The size of the total moment is 3.98 μB/f.u. Its uncorrected formation energy is 33.686 kcal/mol of atoms.

The space group is P4/mmm (No. 123) and the conventional cell measures 4.829, 4.829 and 5.028 Å, with angles of 90.00, 90.00 and 90.00 degrees. The distinct sites, in fractional coordinates, are K at (0.000, 0.000, 0.000), Ti at (0.000, 0.000, 0.500), Si at (0.000, 0.500, 0.500) and Tc at (0.500, 0.500, 0.000).

Record 2
The following is a DFT calculation (GGA-PBE) of a relaxed Ce4Sn25Pd12 crystal.

The calculation puts the calculated density at 8.29 g/cm³. The size of the total moment is 3.84 μB/f.u. For the formation enthalpy at 0 K, the calculation gives -0.486 eV per atom.

The space group is Im-3 (No. 204) and the conventional cell measures 12.439, 12.439 and 12.439 Å, with angles of 90.00, 90.00 and 90.00 degrees. The distinct sites, in fractional coordinates, are Ce at (0.250, 0.250, 0.250), Sn at (0.000, 0.000, 0.000), Sn at (0.000, 0.248, 0.126), Sn at (0.000, 0.370, 0.378) and Pd at (0.000, 0.163, 0.322).

Record 3
The following is a DFT calculation (GGA-PBE) of a relaxed CaHo3In2 crystal.

The calculation puts the calculated density at 7.45 g/cm³. The size of the total moment is 0.00 μB/f.u. For the energy above the most stable polymorph in this dataset, the calculation gives 0.000 eV/atom. For the formation enthalpy at 0 K, the calculation gives -0.363 eV per atom.

The space group is Pmc2_1 (No. 26) and the conventional cell measures 5.388, 9.327 and 6.783 Å, with angles of 90.00, 90.00 and 90.00 degrees. The distinct sites, in fractional coordinates, are Ca at (0.000, 0.001, 0.000), Ho at (0.000, 0.336, 0.749), Ho at (0.500, 0.169, 0.251), Ho at (0.500, 0.499, 0.000), In at (0.000, 0.335, 0.249) and In at (0.500, 0.170, 0.750).

Record 4
The following is a DFT calculation (GGA-PBE) of a relaxed CrNiIr crystal.

The calculation puts the calculated density at 11.63 g/cm³. The size of the total moment is 1.15 μB/f.u. For the energy above the most stable polymorph in this dataset, the calculation gives 0.431 eV/atom. For the formation enthalpy at 0 K, the calculation gives 0.279 eV per atom.

The space group is F-43m (No. 216) and the conventional cell measures 5.572, 5.572 and 5.572 Å, with angles of 90.00, 90.00 and 90.00 degrees. The distinct sites, in fractional coordinates, are Cr at (0.000, 0.000, 0.000), Ni at (0.250, 0.250, 0.750) and Ir at (0.250, 0.250, 0.250).

Question: Which of these has the lowest calculated density?
Answer: KTiSi2Tc

Repeat the fourth record exactly.
The following is a DFT calculation (GGA-PBE) of a relaxed CrNiIr crystal.

The calculation puts the calculated density at 11.63 g/cm³. The size of the total moment is 1.15 μB/f.u. For the energy above the most stable polymorph in this dataset, the calculation gives 0.431 eV/atom. For the formation enthalpy at 0 K, the calculation gives 0.279 eV per atom.

The space group is F-43m (No. 216) and the conventional cell measures 5.572, 5.572 and 5.572 Å, with angles of 90.00, 90.00 and 90.00 degrees. The distinct sites, in fractional coordinates, are Cr at (0.000, 0.000, 0.000), Ni at (0.250, 0.250, 0.750) and Ir at (0.250, 0.250, 0.250).

Question: Number 2 is which compound?
Answer: Ce4Sn25Pd12